Here is a geometry-optimized YOs structure from the Alexandria database. Energies are from GGA-PBE.

Properties
* calculated density: 9.2 g/cm3
* calculated formation energy: 351 meV/atom
* total energy: -8.4958 eV per atom

The structure in POSCAR format:
```
YOs
1.0
-0.6572 0.1687 -3.5519
-3.1838 -1.6365 0.5114
-3.3848 6.8831 0.9533
Y Os
2 2
Direct
0.2500 0.2500 0.3109 Y
0.7500 0.7500 0.6891 Y
0.7500 0.2500 0.0000 Os
0.2500 0.7500 0.0000 Os
```

Here is a geometry-optimized YOs2 structure from the Alexandria database. Energies are from GGA-PBE.

Properties
* calculated density: 14.2 g/cm3
* calculated formation energy: 221 meV/atom
* total energy: -9.4199 eV per atom

The structure in POSCAR format:
```
YOs2
1.0
-1.3796 -4.6575 -2.9126
0.2059 -2.4027 3.7444
-8.4099 1.5713 1.4707
Y Os
4 8
Direct
0.4290 0.7500 0.3868 Y
0.9290 0.7500 0.1132 Y
0.0710 0.2500 0.8868 Y
0.5710 0.2500 0.6132 Y
0.4394 0.7500 0.0526 Os
0.1781 0.2500 0.2655 Os
0.9394 0.7500 0.4474 Os
0.8219 0.7500 0.7345 Os
0.5606 0.2500 0.9474 Os
0.6781 0.2500 0.2345 Os
0.0606 0.2500 0.5526 Os
0.3219 0.7500 0.7655 Os
```

Here is a geometry-optimized Y2Os structure from the Alexandria database. Energies are from GGA-PBE.

Properties
* calculated density: 8.8 g/cm3
* calculated formation energy: 42 meV/atom
* total energy: -8.0110 eV per atom

The structure in POSCAR format:
```
Y2Os
1.0
-4.5362 0.3992 -1.2844
1.1553 -0.1581 4.5855
0.3008 3.5699 0.0473
Y Os
2 1
Direct
0.3333 0.6667 0.2733 Y
0.6667 0.3333 0.7267 Y
0.0000 0.0000 0.0000 Os
```

Here is a geometry-optimized YOs structure from the Alexandria database. Energies are from GGA-PBE.

Properties
* calculated density: 11.2 g/cm3
* calculated formation energy: 614 meV/atom
* total energy: -8.2328 eV per atom

The structure in POSCAR format:
```
YOs
1.0
-1.8400 2.0553 1.3541
1.6042 -1.9872 1.7091
7.6707 6.5744 0.4443
Os Y
2 2
Direct
0.0000 0.0000 0.0292 Os
0.3333 0.6667 0.2208 Os
0.3333 0.6667 0.7879 Y
0.0000 0.0000 0.4621 Y
```